# 1
# Tl8In2Bi

An optimized crystal structure of Tl8In2Bi (GGA-PBE, Alexandria via LeMat-Bulk).

Properties
The energy above the most stable polymorph in this dataset comes out at 0.000 eV/atom. The calculation puts the density at 9.901 g/cm³. As for the crystal system: orthorhombic. For the formation energy, the calculation gives 0.01 eV/atom. The value obtained for the density of states at the Fermi level is 0.37 states/eV/atom. As for the symmetry: Immm, No. 71. Its total energy is -2.557 eV/atom.

Cell lengths 9.3352, 9.3352, 9.3352 Å; angles 146.36, 128.74, 62.72 degrees
Fractional coordinates of all 11 atoms:
Tl 0.1175 0.3419 0.7756
Tl 0.1541 0.1541 0.0000
Tl 0.2927 0.0000 0.2927
Tl 0.4338 0.6581 0.7756
Tl 0.5662 0.3419 0.2244
Tl 0.7073 0.0000 0.7073
Tl 0.8459 0.8459 0.0000
Tl 0.8825 0.6581 0.2244
In 0.3148 0.8148 0.5000
In 0.6852 0.1852 0.5000
Bi 0.0000 0.5000 0.5000

# 2
# CaInAu2

An optimized crystal structure of CaInAu2 (GGA-PBE, Alexandria via LeMat-Bulk).

Properties
The calculation puts the density at 8.156 g/cm³. As for the crystal system: tetragonal. For the formation energy, the calculation gives -0.28 eV/atom. The value obtained for the density of states at the Fermi level is 0.36 states/eV/atom. As for the symmetry: I-42d, No. 122. Its total energy is -3.108 eV/atom.

Cell lengths 4.9733, 4.9733, 18.0719 Å; angles 90.00, 90.00, 90.00 degrees
Fractional coordinates of all 16 atoms:
Ca 0.0000 0.0000 0.0000
Ca 0.0000 0.5000 0.2500
Ca 0.5000 0.0000 0.7500
Ca 0.5000 0.5000 0.5000
In 0.0000 0.0000 0.5000
In 0.0000 0.5000 0.7500
In 0.5000 0.0000 0.2500
In 0.5000 0.5000 0.0000
Au 0.1810 0.2500 0.6250
Au 0.2500 0.6810 0.8750
Au 0.2500 0.8190 0.3750
Au 0.3190 0.2500 0.1250
Au 0.6810 0.7500 0.1250
Au 0.7500 0.1810 0.3750
Au 0.7500 0.3190 0.8750
Au 0.8190 0.7500 0.6250